Compound: LiMnSi2O6
Source: Alexandria
Functional: PBE with a Hubbard U
Structure: relaxed

a = 6.691 Å, b = 6.691 Å, c = 5.317 Å
α = 73.76°, β = 73.76°, γ = 83.89°
Last column: magnetic moment on the atom in μB.
Fractional coordinates of all 20 atoms:
O  0.205  0.026  0.865  -0.03
O  0.341  0.361  0.463  -0.01
O  0.377  0.885  0.343  0.02
O  0.885  0.377  0.843  0.02
O  0.026  0.205  0.365  -0.03
O  0.361  0.341  0.963  -0.01
O  0.623  0.115  0.657  0.02
O  0.659  0.639  0.537  -0.01
O  0.795  0.974  0.135  -0.03
O  0.115  0.623  0.157  0.02
O  0.974  0.795  0.635  -0.03
O  0.639  0.659  0.037  -0.01
Si  0.794  0.612  0.759  0.01
Si  0.612  0.794  0.259  0.01
Si  0.388  0.206  0.741  0.01
Si  0.206  0.388  0.241  0.01
Li  0.248  0.752  0.750  0.00
Li  0.752  0.248  0.250  0.00
Mn  0.104  0.896  0.250  3.90
Mn  0.896  0.104  0.750  3.90

Results
- Space group: C2/c (15)
- Crystal system: monoclinic
- Polymorph energy (0 for the lowest one): 0 meV per atom